Entry 1:
First-principles (PBE) data for a geometry-optimized KRb12Au5 structure, as listed in Alexandria.

Cell: 10.943 10.943 10.943 Å, 105.48 113.26 109.76°
Fractional coordinates of all 18 atoms:
Rb (0.193, 0.388, 0.196)
Rb (0.534, 0.830, 0.704)
Rb (0.677, 0.679, 0.356)
Rb (0.466, 0.170, 0.296)
Rb (0.874, 0.170, 0.704)
Rb (0.807, 0.612, 0.804)
Rb (0.807, 0.003, 0.196)
Rb (0.126, 0.830, 0.296)
Rb (0.193, 0.997, 0.804)
Rb (0.323, 0.679, 0.001)
Rb (0.323, 0.321, 0.644)
Rb (0.677, 0.321, 0.999)
Au (0.500, 0.891, 0.391)
Au (0.500, 0.109, 0.609)
Au (0.618, 0.618, 0.000)
Au (0.000, 0.000, 0.000)
Au (0.382, 0.382, 0.000)
K (0.000, 0.500, 0.500)

formation enthalpy at 0 K	-0.162	eV/atom
crystal system	orthorhombic

---

Entry 2:
First-principles (PBE) data for a geometry-optimized K5Rb3Au2 structure, as listed in Alexandria.

Cell: 8.870 12.606 12.606 Å, 77.41 69.40 69.40°
Fractional coordinates of all 20 atoms:
K (0.493, 0.257, 0.257)
K (0.993, 0.257, 0.257)
K (0.934, 0.340, 0.792)
K (0.250, 0.500, 0.500)
K (0.434, 0.792, 0.340)
K (0.566, 0.208, 0.660)
K (0.750, 0.500, 0.500)
K (0.066, 0.660, 0.208)
K (0.507, 0.743, 0.743)
K (0.007, 0.743, 0.743)
Au (0.646, 0.944, 0.765)
Au (0.854, 0.235, 0.056)
Au (0.354, 0.056, 0.235)
Au (0.146, 0.765, 0.944)
Rb (0.688, 0.556, 0.068)
Rb (0.188, 0.068, 0.556)
Rb (0.750, 0.000, 0.000)
Rb (0.250, 0.000, 0.000)
Rb (0.312, 0.444, 0.932)
Rb (0.812, 0.932, 0.444)

formation enthalpy at 0 K	-0.094	eV/atom
crystal system	orthorhombic

---

Computed values of E_tot (unit: Ry/atom) for the preceding records, in sequence: -0.1307, -0.1168.